A relaxed Ca2AcAgPt crystal. Source: the Alexandria database, functional GGA-PBE.

Summary:
* ΔE_f: -0.42 eV/atom
* symmetry: P4mm (99)
* magnetization: 0.00 μB per formula unit

Cell and atoms, written as CIF:
```
data_Ca2AcAgPt
_chemical_formula_sum 'Ca2 Ac1 Ag1 Pt1'
_cell_length_a 5.5443
_cell_length_b 5.5443
_cell_length_c 5.8593
_cell_angle_alpha 90.00
_cell_angle_beta 90.00
_cell_angle_gamma 90.00
_space_group_name_H-M_alt 'P 1'
_space_group_IT_number 1
loop_
_space_group_symop_operation_xyz
'x,y,z'
loop_
_atom_site_label
_atom_site_type_symbol
_atom_site_fract_x
_atom_site_fract_y
_atom_site_fract_z
Ca1 Ca 0.0000 0.5000 0.0000
Ca2 Ca 0.5000 0.0000 0.0000
Ac1 Ac 0.0000 0.0000 0.5246
Ag1 Ag 0.5000 0.5000 0.6300
Pt1 Pt 0.0000 0.0000 0.0284
```

---

A relaxed CaAcAgPt crystal. Source: the Alexandria database, functional GGA-PBE.

Summary:
* ΔE_f: -0.71 eV/atom
* symmetry: Amm2 (38)
* ΔE to the lowest computed polymorph: 0.0 meV per atom
* magnetization: 0.00 μB per formula unit

Cell and atoms, written as CIF:
```
data_CaAcAgPt
_chemical_formula_sum 'Ca2 Ac2 Ag2 Pt2'
_cell_length_a 4.4575
_cell_length_b 4.2167
_cell_length_c 11.7280
_cell_angle_alpha 90.00
_cell_angle_beta 90.00
_cell_angle_gamma 90.00
_space_group_name_H-M_alt 'P 1'
_space_group_IT_number 1
loop_
_space_group_symop_operation_xyz
'x,y,z'
loop_
_atom_site_label
_atom_site_type_symbol
_atom_site_fract_x
_atom_site_fract_y
_atom_site_fract_z
Ca1 Ca 0.0000 0.0000 0.0000
Ca2 Ca 0.0000 0.5000 0.5000
Ac1 Ac 0.5000 0.0000 0.2776
Ac2 Ac 0.5000 0.5000 0.7776
Ag1 Ag 0.5000 0.0000 0.5624
Ag2 Ag 0.5000 0.5000 0.0624
Pt1 Pt 0.0000 0.0000 0.7302
Pt2 Pt 0.0000 0.5000 0.2302
```

---

A relaxed CaAcAgRh crystal. Source: the Alexandria database, functional GGA-PBE.

Summary:
* ΔE_f: -0.36 eV/atom
* symmetry: F-43m (216)
* ΔE to the lowest computed polymorph: 99.5 meV per atom
* magnetization: 0.00 μB per formula unit

Cell and atoms, written as CIF:
```
data_CaAcAgRh
_chemical_formula_sum 'Ca4 Ac4 Ag4 Rh4'
_cell_length_a 7.4137
_cell_length_b 7.4137
_cell_length_c 7.4137
_cell_angle_alpha 90.00
_cell_angle_beta 90.00
_cell_angle_gamma 90.00
_space_group_name_H-M_alt 'P 1'
_space_group_IT_number 1
loop_
_space_group_symop_operation_xyz
'x,y,z'
loop_
_atom_site_label
_atom_site_type_symbol
_atom_site_fract_x
_atom_site_fract_y
_atom_site_fract_z
Ca1 Ca 0.0000 0.0000 0.0000
Ca2 Ca 0.0000 0.5000 0.5000
Ca3 Ca 0.5000 0.0000 0.5000
Ca4 Ca 0.5000 0.5000 0.0000
Ac1 Ac 0.0000 0.0000 0.5000
Ac2 Ac 0.0000 0.5000 0.0000
Ac3 Ac 0.5000 0.0000 0.0000
Ac4 Ac 0.5000 0.5000 0.5000
Ag1 Ag 0.2500 0.2500 0.7500
Ag2 Ag 0.2500 0.7500 0.2500
Ag3 Ag 0.7500 0.2500 0.2500
Ag4 Ag 0.7500 0.7500 0.7500
Rh1 Rh 0.2500 0.2500 0.2500
Rh2 Rh 0.2500 0.7500 0.7500
Rh3 Rh 0.7500 0.2500 0.7500
Rh4 Rh 0.7500 0.7500 0.2500
```

---

A relaxed CaAcAgRh crystal. Source: the Alexandria database, functional GGA-PBE.

Summary:
* ΔE_f: -0.46 eV/atom
* symmetry: Amm2 (38)
* ΔE to the lowest computed polymorph: 0.0 meV per atom
* magnetization: 0.00 μB per formula unit

Cell and atoms, written as CIF:
```
data_CaAcAgRh
_chemical_formula_sum 'Ca2 Ac2 Ag2 Rh2'
_cell_length_a 4.3425
_cell_length_b 4.1478
_cell_length_c 11.8205
_cell_angle_alpha 90.00
_cell_angle_beta 90.00
_cell_angle_gamma 90.00
_space_group_name_H-M_alt 'P 1'
_space_group_IT_number 1
loop_
_space_group_symop_operation_xyz
'x,y,z'
loop_
_atom_site_label
_atom_site_type_symbol
_atom_site_fract_x
_atom_site_fract_y
_atom_site_fract_z
Ca1 Ca 0.0000 0.0000 0.0000
Ca2 Ca 0.0000 0.5000 0.5000
Ac1 Ac 0.5000 0.0000 0.2788
Ac2 Ac 0.5000 0.5000 0.7788
Ag1 Ag 0.5000 0.0000 0.5639
Ag2 Ag 0.5000 0.5000 0.0639
Rh1 Rh 0.0000 0.0000 0.7279
Rh2 Rh 0.0000 0.5000 0.2279
```

---

A relaxed CaAcAg2S4 crystal. Source: the Alexandria database, functional GGA-PBE.

Summary:
* raw formation energy: -1.1505 eV/atom
* symmetry: I222 (23)
* magnetization: 0.00 μB per formula unit

Cell and atoms, written as CIF:
```
data_CaAcAg2S4
_chemical_formula_sum 'Ca2 Ac2 Ag4 S8'
_cell_length_a 7.0455
_cell_length_b 7.0468
_cell_length_c 7.7081
_cell_angle_alpha 90.00
_cell_angle_beta 90.00
_cell_angle_gamma 90.00
_space_group_name_H-M_alt 'P 1'
_space_group_IT_number 1
loop_
_space_group_symop_operation_xyz
'x,y,z'
loop_
_atom_site_label
_atom_site_type_symbol
_atom_site_fract_x
_atom_site_fract_y
_atom_site_fract_z
Ca1 Ca 0.0000 0.0000 0.0000
Ca2 Ca 0.5000 0.5000 0.5000
Ac1 Ac 0.0000 0.0000 0.5000
Ac2 Ac 0.5000 0.5000 0.0000
Ag1 Ag 0.0000 0.5000 0.2508
Ag2 Ag 0.0000 0.5000 0.7492
Ag3 Ag 0.5000 0.0000 0.2492
Ag4 Ag 0.5000 0.0000 0.7508
S1 S 0.2232 0.2231 0.7723
S2 S 0.2232 0.7769 0.2277
S3 S 0.2768 0.2769 0.2723
S4 S 0.2768 0.7231 0.7277
S5 S 0.7232 0.2769 0.7277
S6 S 0.7232 0.7231 0.2723
S7 S 0.7768 0.2231 0.2277
S8 S 0.7768 0.7769 0.7723
```

---

A relaxed CaAcAg2Sb2 crystal. Source: the Alexandria database, functional GGA-PBE.

Summary:
* raw formation energy: -0.6992 eV/atom
* symmetry: P-3m1 (164)
* magnetization: 0.00 μB per formula unit

Cell and atoms, written as CIF:
```
data_CaAcAg2Sb2
_chemical_formula_sum 'Ca1 Ac1 Ag2 Sb2'
_cell_length_a 4.7947
_cell_length_b 4.7947
_cell_length_c 8.3295
_cell_angle_alpha 90.00
_cell_angle_beta 90.00
_cell_angle_gamma 120.00
_space_group_name_H-M_alt 'P 1'
_space_group_IT_number 1
loop_
_space_group_symop_operation_xyz
'x,y,z'
loop_
_atom_site_label
_atom_site_type_symbol
_atom_site_fract_x
_atom_site_fract_y
_atom_site_fract_z
Ca1 Ca 0.0000 0.0000 0.0000
Ac1 Ac 0.0000 0.0000 0.5000
Ag1 Ag 0.3333 0.6667 0.2466
Ag2 Ag 0.6667 0.3333 0.7534
Sb1 Sb 0.3333 0.6667 0.7655
Sb2 Sb 0.6667 0.3333 0.2345
```

---

A relaxed Ca2AcAgSe4 crystal. Source: the Alexandria database, functional GGA-PBE.

Summary:
* raw formation energy: -1.6350 eV/atom
* symmetry: Cmcm (63)
* magnetization: 0.00 μB per formula unit

Cell and atoms, written as CIF:
```
data_Ca2AcAgSe4
_chemical_formula_sum 'Ca4 Ac2 Ag2 Se8'
_cell_length_a 7.3702
_cell_length_b 7.3702
_cell_length_c 14.5318
_cell_angle_alpha 90.00
_cell_angle_beta 90.00
_cell_angle_gamma 146.36
_space_group_name_H-M_alt 'P 1'
_space_group_IT_number 1
loop_
_space_group_symop_operation_xyz
'x,y,z'
loop_
_atom_site_label
_atom_site_type_symbol
_atom_site_fract_x
_atom_site_fract_y
_atom_site_fract_z
Ca1 Ca 0.1262 0.8738 0.5603
Ca2 Ca 0.1262 0.8738 0.9397
Ca3 Ca 0.8738 0.1262 0.0603
Ca4 Ca 0.8738 0.1262 0.4397
Ac1 Ac 0.3752 0.6248 0.7500
Ac2 Ac 0.6248 0.3752 0.2500
Ag1 Ag 0.3550 0.6450 0.2500
Ag2 Ag 0.6450 0.3550 0.7500
Se1 Se 0.0348 0.9652 0.7500
Se2 Se 0.2246 0.7754 0.1179
Se3 Se 0.2246 0.7754 0.3821
Se4 Se 0.5000 0.5000 0.0000
Se5 Se 0.5000 0.5000 0.5000
Se6 Se 0.7754 0.2246 0.6179
Se7 Se 0.7754 0.2246 0.8821
Se8 Se 0.9652 0.0348 0.2500
```

---

A relaxed Ca2AcAg2Sn2 crystal. Source: the Alexandria database, functional GGA-PBE.

Summary:
* ΔE_f: -0.51 eV/atom
* symmetry: R-3m (166)
* magnetization: 0.00 μB per formula unit

Cell and atoms, written as CIF:
```
data_Ca2AcAg2Sn2
_chemical_formula_sum 'Ca2 Ac1 Ag2 Sn2'
_cell_length_a 9.9889
_cell_length_b 9.9889
_cell_length_c 9.9889
_cell_angle_alpha 28.49
_cell_angle_beta 28.49
_cell_angle_gamma 28.49
_space_group_name_H-M_alt 'P 1'
_space_group_IT_number 1
loop_
_space_group_symop_operation_xyz
'x,y,z'
loop_
_atom_site_label
_atom_site_type_symbol
_atom_site_fract_x
_atom_site_fract_y
_atom_site_fract_z
Ca1 Ca 0.1307 0.1307 0.1307
Ca2 Ca 0.8693 0.8693 0.8693
Ac1 Ac 0.0000 0.0000 0.0000
Ag1 Ag 0.4100 0.4100 0.4100
Ag2 Ag 0.5900 0.5900 0.5900
Sn1 Sn 0.2553 0.2553 0.2553
Sn2 Sn 0.7447 0.7447 0.7447
```

---

A relaxed Ca2AcTbAg4 crystal. Source: the Alexandria database, functional GGA-PBE.

Summary:
* ΔE_f: -0.29 eV/atom
* symmetry: R-3m (166)
* magnetization: 0.00 μB per formula unit

Cell and atoms, written as CIF:
```
data_Ca2AcTbAg4
_chemical_formula_sum 'Ca2 Ac1 Tb1 Ag4'
_cell_length_a 9.2869
_cell_length_b 9.2869
_cell_length_c 9.2869
_cell_angle_alpha 33.08
_cell_angle_beta 33.08
_cell_angle_gamma 33.08
_space_group_name_H-M_alt 'P 1'
_space_group_IT_number 1
loop_
_space_group_symop_operation_xyz
'x,y,z'
loop_
_atom_site_label
_atom_site_type_symbol
_atom_site_fract_x
_atom_site_fract_y
_atom_site_fract_z
Ca1 Ca 0.2468 0.2468 0.2468
Ca2 Ca 0.7532 0.7532 0.7532
Ac1 Ac 0.0000 0.0000 0.0000
Tb1 Tb 0.5000 0.5000 0.5000
Ag1 Ag 0.1284 0.1284 0.1284
Ag2 Ag 0.3825 0.3825 0.3825
Ag3 Ag 0.6175 0.6175 0.6175
Ag4 Ag 0.8716 0.8716 0.8716
```

---

A relaxed Ca2AcAgTe4 crystal. Source: the Alexandria database, functional GGA-PBE.

Summary:
* raw formation energy: -1.3111 eV/atom
* symmetry: Cmcm (63)
* magnetization: 0.00 μB per formula unit

Cell and atoms, written as CIF:
```
data_Ca2AcAgTe4
_chemical_formula_sum 'Ca4 Ac2 Ag2 Te8'
_cell_length_a 7.8239
_cell_length_b 7.8239
_cell_length_c 15.6266
_cell_angle_alpha 90.00
_cell_angle_beta 90.00
_cell_angle_gamma 146.38
_space_group_name_H-M_alt 'P 1'
_space_group_IT_number 1
loop_
_space_group_symop_operation_xyz
'x,y,z'
loop_
_atom_site_label
_atom_site_type_symbol
_atom_site_fract_x
_atom_site_fract_y
_atom_site_fract_z
Ca1 Ca 0.1266 0.8734 0.5641
Ca2 Ca 0.1266 0.8734 0.9359
Ca3 Ca 0.8734 0.1266 0.0641
Ca4 Ca 0.8734 0.1266 0.4359
Ac1 Ac 0.3743 0.6257 0.7500
Ac2 Ac 0.6257 0.3743 0.2500
Ag1 Ag 0.3513 0.6487 0.2500
Ag2 Ag 0.6487 0.3513 0.7500
Te1 Te 0.0371 0.9629 0.7500
Te2 Te 0.2231 0.7769 0.1176
Te3 Te 0.2231 0.7769 0.3824
Te4 Te 0.5000 0.5000 0.0000
Te5 Te 0.5000 0.5000 0.5000
Te6 Te 0.7769 0.2231 0.6176
Te7 Te 0.7769 0.2231 0.8824
Te8 Te 0.9629 0.0371 0.2500
```

---

A relaxed CaAcAgTe3 crystal. Source: the Alexandria database, functional GGA-PBE.

Summary:
* raw formation energy: -1.2506 eV/atom
* symmetry: P2_1/m (11)
* magnetization: 0.00 μB per formula unit

Cell and atoms, written as CIF:
```
data_CaAcAgTe3
_chemical_formula_sum 'Ca2 Ac2 Ag2 Te6'
_cell_length_a 9.1657
_cell_length_b 4.4889
_cell_length_c 9.9597
_cell_angle_alpha 90.00
_cell_angle_beta 102.63
_cell_angle_gamma 90.00
_space_group_name_H-M_alt 'P 1'
_space_group_IT_number 1
loop_
_space_group_symop_operation_xyz
'x,y,z'
loop_
_atom_site_label
_atom_site_type_symbol
_atom_site_fract_x
_atom_site_fract_y
_atom_site_fract_z
Ca1 Ca 0.1663 0.2500 0.1627
Ca2 Ca 0.8337 0.7500 0.8373
Ac1 Ac 0.3162 0.7500 0.7595
Ac2 Ac 0.6838 0.2500 0.2405
Ag1 Ag 0.4197 0.7500 0.4196
Ag2 Ag 0.5803 0.2500 0.5804
Te1 Te 0.0780 0.2500 0.8376
Te2 Te 0.2520 0.2500 0.4927
Te3 Te 0.4071 0.7500 0.1292
Te4 Te 0.5929 0.2500 0.8708
Te5 Te 0.7480 0.7500 0.5073
Te6 Te 0.9220 0.7500 0.1624
```

---

A relaxed Ca2Ac3Tl4Ag2 crystal. Source: the Alexandria database, functional GGA-PBE.

Summary:
* ΔE_f: -0.25 eV/atom
* symmetry: P-3m1 (164)
* magnetization: 0.00 μB per formula unit

Cell and atoms, written as CIF:
```
data_Ca2Ac3Tl4Ag2
_chemical_formula_sum 'Ca2 Ac3 Tl4 Ag2'
_cell_length_a 5.2061
_cell_length_b 5.2061
_cell_length_c 15.3821
_cell_angle_alpha 90.00
_cell_angle_beta 90.00
_cell_angle_gamma 120.00
_space_group_name_H-M_alt 'P 1'
_space_group_IT_number 1
loop_
_space_group_symop_operation_xyz
'x,y,z'
loop_
_atom_site_label
_atom_site_type_symbol
_atom_site_fract_x
_atom_site_fract_y
_atom_site_fract_z
Ca1 Ca 0.3333 0.6667 0.0724
Ca2 Ca 0.6667 0.3333 0.9276
Ac1 Ac 0.0000 0.0000 0.2533
Ac2 Ac 0.0000 0.0000 0.5000
Ac3 Ac 0.0000 0.0000 0.7467
Tl1 Tl 0.3333 0.6667 0.3811
Tl2 Tl 0.3333 0.6667 0.8515
Tl3 Tl 0.6667 0.3333 0.1485
Tl4 Tl 0.6667 0.3333 0.6189
Ag1 Ag 0.3333 0.6667 0.6306
Ag2 Ag 0.6667 0.3333 0.3694
```